DFT (GGA-PBE) results for a relaxed BaTaCo2Se8 crystal.

Cell: 6.3005 6.3005 8.5764 Å, 90.00 90.00 120.00°
Space group P-3 (No. 147)
Unique sites:
Ba1 0.0000 0.0000 0.0000 [1 per cell]
Ta1 0.0000 0.0000 0.5000 [1 per cell]
Co1 0.3333 0.6667 0.7621 [2 per cell]
Se1 0.0009 0.6609 0.3338 [6 per cell]
Se2 0.3333 0.6667 0.0167 [2 per cell]

Total energy = -5.0757 eV/atom
Uncorrected formation energy = -0.42 eV/atom